No. 1
Entry from Alexandria: crystalline LiTaMo2 at its relaxed geometry (PBE).

Output
- calculated volume (Å³/atom) = 15.804
- space group = No. 71
- calculated formation energy (eV/atom) = 0.349

abc: 5.201 5.201 5.201
angles: 143.36 130.35 63.27
Sites, in units of the cell vectors:
Li (0.000, 0.000, 0.000)
Ta (0.500, 0.500, 0.000)
Mo (0.253, 0.753, 0.500)
Mo (0.747, 0.247, 0.500)

No. 2
Entry from Alexandria: crystalline LiTaMo2 at its relaxed geometry (PBE).

Output
- calculated volume (Å³/atom) = 15.704
- space group = No. 119
- calculated formation energy (eV/atom) = 0.291

abc: 4.496 4.496 4.496
angles: 121.42 121.42 87.56
Sites, in units of the cell vectors:
Li (0.000, 0.000, 0.000)
Ta (0.750, 0.250, 0.500)
Mo (0.250, 0.750, 0.500)
Mo (0.500, 0.500, 0.000)

No. 3
Entry from Alexandria: crystalline Li2TaMo at its relaxed geometry (PBE).

Output
- calculated volume (Å³/atom) = 16.472
- space group = No. 65
- calculated formation energy (eV/atom) = 0.402

abc: 2.631 2.631 10.121
angles: 90.00 90.00 109.83
Sites, in units of the cell vectors:
Li (0.000, 0.000, 0.242)
Li (0.000, 0.000, 0.758)
Ta (0.500, 0.500, 0.500)
Mo (0.500, 0.500, 0.000)

Values for spin magnetization, μB/atom, ordered as above
0.00; 0.00; 0.00